1.
Density functional theory data (meta-GGA SCAN) for a crystal of Ni2HgBr relaxed with PBEsol.

Cell lengths 4.417, 4.417, 3.130 Å; angles 90.00, 90.00, 90.00 degrees
Space group P4/mmm (No. 123)
Inequivalent atoms, fractional coordinates:
Ni (0.000, 0.500, 0.000) [2 per cell]
Hg (0.000, 0.000, 0.500) [1 per cell]
Br (0.500, 0.500, 0.500) [1 per cell]

2.
Density functional theory data (meta-GGA SCAN) for a crystal of Ni2HgBr relaxed with PBEsol.

Cell lengths 3.036, 4.227, 10.836 Å; angles 90.00, 90.00, 90.00 degrees
Space group Imm2 (No. 44)
Inequivalent atoms, fractional coordinates:
Ni (0.000, 0.000, 0.000) [2 per cell]
Ni (0.000, 0.500, 0.322) [2 per cell]
Hg (0.000, 0.000, 0.452) [2 per cell]
Br (0.000, 0.500, 0.679) [2 per cell]

3.
Density functional theory data (meta-GGA SCAN) for a crystal of Ni3HgBr relaxed with PBEsol.

Cell lengths 4.332, 4.332, 4.332 Å; angles 90.00, 90.00, 90.00 degrees
Space group Pm-3m (No. 221)
Inequivalent atoms, fractional coordinates:
Ni (0.000, 0.000, 0.500) [3 per cell]
Hg (0.500, 0.500, 0.500) [1 per cell]
Br (0.000, 0.000, 0.000) [1 per cell]

4.
Density functional theory data (meta-GGA SCAN) for a crystal of Ni3HgBr relaxed with PBEsol.

Cell lengths 4.722, 4.722, 4.722 Å; angles 90.00, 90.00, 90.00 degrees
Space group Pm-3m (No. 221)
Inequivalent atoms, fractional coordinates:
Ni (0.000, 0.000, 0.500) [3 per cell]
Hg (0.000, 0.000, 0.000) [1 per cell]
Br (0.500, 0.500, 0.500) [1 per cell]

Number 1: ΔE to the lowest computed polymorph 1.11 eV/f.u., formation energy without anion corrections 2.5 eV per formula unit. Number 2: ΔE to the lowest computed polymorph 0.00 eV/f.u., formation energy without anion corrections 1.4 eV per formula unit. Number 3: ΔE to the lowest computed polymorph 0.00 eV/f.u., formation energy without anion corrections 4.2 eV per formula unit. Number 4: ΔE to the lowest computed polymorph 1.64 eV/f.u., formation energy without anion corrections 5.9 eV per formula unit.